This record from Alexandria describes Cs2MnTe2O6 after structural relaxation. The functional is PBE+U.

a b c (Å): 6.588 7.653 6.956
angles (deg): 114.19 90.00 115.49
Sites, in units of the cell vectors:
Cs1 0.671 0.341 0.193
Cs2 0.329 0.659 0.807
O1 0.279 0.958 0.288
O2 0.721 0.042 0.712
O3 0.151 0.303 0.366
O4 0.321 0.042 0.712
O5 0.849 0.697 0.634
O6 0.679 0.958 0.288
Mn1 0.500 0.000 0.500
Te1 0.999 0.998 0.743
Te2 0.001 0.002 0.257

Results
**Mass density**: 3.96 g/cm3
**Raw total energy**: -5.31 eV/atom
**D(E_F)**: 1.0 states/eV/cell